# 1
A relaxed structure of MnIn2Sb, computed with PBE-GGA.

Values from the calculation:
D(E_F) = 1.90 states/eV/f.u.
ΔE_f (raw) = 28 kJ per mole of atoms
raw total energy = -4.400 eV per atom
crystal system = orthorhombic

Unit cell a=6.2228 b=9.2161 c=3.2973 alpha=90.00 beta=90.00 gamma=90.00
Space group Cmmm (No. 65)
Symmetry-distinct sites (fractional):
Mn1 0.0000 0.0000 0.0000 (multiplicity 2)
In1 0.2500 0.2500 0.5000 (multiplicity 4)
Sb1 0.0000 0.5000 0.0000 (multiplicity 2)

# 2
A relaxed structure of Mn2InSb, computed with PBE-GGA.

Values from the calculation:
D(E_F) = 2.02 states/eV/f.u.
ΔE_f (raw) = 26 kJ per mole of atoms
raw total energy = -6.027 eV per atom
crystal system = trigonal
energy above the most stable polymorph in this dataset = 47 meV/atom

Unit cell a=3.7506 b=3.7506 c=18.7920 alpha=90.00 beta=90.00 gamma=120.00
Space group R3m (No. 160, hexagonal axes)
Symmetry-distinct sites (fractional):
Mn1 0.0000 0.0000 0.0000 (multiplicity 3)
Mn2 0.0000 0.0000 0.3145 (multiplicity 3)
In1 0.0000 0.0000 0.5531 (multiplicity 3)
Sb1 0.0000 0.0000 0.7505 (multiplicity 3)

# 3
A relaxed structure of MnIn2Sb, computed with PBE-GGA.

Values from the calculation:
D(E_F) = 1.88 states/eV/f.u.
ΔE_f (raw) = 30 kJ per mole of atoms
raw total energy = -4.385 eV per atom
crystal system = cubic

Unit cell a=7.2979 b=7.2979 c=7.2979 alpha=90.00 beta=90.00 gamma=90.00
Space group F-43m (No. 216)
Symmetry-distinct sites (fractional):
Mn1 0.0000 0.0000 0.0000 (multiplicity 4)
In1 0.0000 0.0000 0.5000 (multiplicity 4)
In2 0.2500 0.2500 0.2500 (multiplicity 4)
Sb1 0.2500 0.2500 0.7500 (multiplicity 4)

# 4
A relaxed structure of MnInSb2Se, computed with PBE-GGA.

Values from the calculation:
D(E_F) = 0.76 states/eV/f.u.
ΔE_f (raw) = 14 kJ per mole of atoms
raw total energy = -4.583 eV per atom
crystal system = tetragonal

Unit cell a=4.8673 b=4.8673 c=5.1110 alpha=90.00 beta=90.00 gamma=90.00
Space group P4/mmm (No. 123)
Symmetry-distinct sites (fractional):
Mn1 0.0000 0.0000 0.0000 (multiplicity 1)
In1 0.0000 0.0000 0.5000 (multiplicity 1)
Sb1 0.0000 0.5000 0.0000 (multiplicity 2)
Se1 0.5000 0.5000 0.5000 (multiplicity 1)

# 5
A relaxed structure of MnIn2SbSe6, computed with PBE-GGA.

Values from the calculation:
D(E_F) = 1.79 states/eV/f.u.
ΔE_f (raw) = -36 kJ per mole of atoms
raw total energy = -4.340 eV per atom
crystal system = monoclinic

Unit cell a=12.9262 b=12.2828 c=7.0441 alpha=90.00 beta=100.66 gamma=90.00
Space group C2/c (No. 15)
Symmetry-distinct sites (fractional):
Mn1 0.0000 0.2418 0.2500 (multiplicity 4)
In1 0.1720 0.0901 0.7927 (multiplicity 8)
Sb1 0.0000 0.4048 0.7500 (multiplicity 4)
Se1 0.1141 0.3996 0.1409 (multiplicity 8)
Se2 0.1221 0.2619 0.5728 (multiplicity 8)
Se3 0.1342 0.1049 0.1454 (multiplicity 8)

# 6
A relaxed structure of Mn2InSbTe, computed with PBE-GGA.

Values from the calculation:
D(E_F) = 4.21 states/eV/f.u.
ΔE_f (raw) = 96 kJ per mole of atoms
raw total energy = -4.671 eV per atom
crystal system = tetragonal

Unit cell a=5.1070 b=5.1070 c=5.7900 alpha=90.00 beta=90.00 gamma=90.00
Space group P4/mmm (No. 123)
Symmetry-distinct sites (fractional):
Mn1 0.0000 0.5000 0.0000 (multiplicity 2)
In1 0.0000 0.0000 0.0000 (multiplicity 1)
Sb1 0.5000 0.5000 0.5000 (multiplicity 1)
Te1 0.0000 0.0000 0.5000 (multiplicity 1)

# 7
A relaxed structure of MnIn2SbTe, computed with PBE-GGA.

Values from the calculation:
D(E_F) = 4.18 states/eV/f.u.
ΔE_f (raw) = 91 kJ per mole of atoms
raw total energy = -3.442 eV per atom
crystal system = tetragonal

Unit cell a=5.8504 b=5.8504 c=5.8049 alpha=90.00 beta=90.00 gamma=90.00
Space group P4/mmm (No. 123)
Symmetry-distinct sites (fractional):
Mn1 0.0000 0.0000 0.0000 (multiplicity 1)
In1 0.0000 0.5000 0.5000 (multiplicity 2)
Sb1 0.5000 0.5000 0.0000 (multiplicity 1)
Te1 0.5000 0.5000 0.5000 (multiplicity 1)

# 8
A relaxed structure of MnInSb2Te, computed with PBE-GGA.

Values from the calculation:
D(E_F) = 4.94 states/eV/f.u.
ΔE_f (raw) = 96 kJ per mole of atoms
raw total energy = -3.662 eV per atom
crystal system = tetragonal
energy above the most stable polymorph in this dataset = 737 meV/atom

Unit cell a=5.5884 b=5.5884 c=5.6814 alpha=90.00 beta=90.00 gamma=90.00
Space group P4/mmm (No. 123)
Symmetry-distinct sites (fractional):
Mn1 0.0000 0.0000 0.0000 (multiplicity 1)
In1 0.5000 0.5000 0.5000 (multiplicity 1)
Sb1 0.0000 0.5000 0.5000 (multiplicity 2)
Te1 0.5000 0.5000 0.0000 (multiplicity 1)

- Number 6 is which compound?
  Mn2InSbTe

- What is the ΔE_f (raw) in the fifth record?
  -36 kJ per mole of atoms